VASP calculation (PBE-GGA) on a geometry-optimized LiThScOs structure.

Values from the calculation:
- formation enthalpy at 0 K (meV/atom) = -230
- D(E_F) (states/eV/atom) = 0.9002
- total moment (μB/f.u.) = 0.0
- crystal system = cubic

Cell and atoms, written as CIF:
```
data_LiThScOs
_chemical_formula_sum 'Li1 Th1 Sc1 Os1'
_cell_length_a 4.8728
_cell_length_b 4.8728
_cell_length_c 4.8728
_cell_angle_alpha 60.00
_cell_angle_beta 60.00
_cell_angle_gamma 60.00
_space_group_name_H-M_alt 'P 1'
_space_group_IT_number 1
_space_group_name_Hall 'P 1'
loop_
_atom_site_label
_atom_site_type_symbol
_atom_site_fract_x
_atom_site_fract_y
_atom_site_fract_z
_atom_site_occupancy
Li1 Li 0.0000 0.0000 0.0000 1
Th1 Th 0.7500 0.7500 0.7500 1
Sc1 Sc 0.2500 0.2500 0.2500 1
Os1 Os 0.5000 0.5000 0.5000 1
```